{"formula": "BaPbO3", "functional": "GGA-PBEsol", "state": "relaxed", "formation_energy_uncorrected_ev_per_atom": -1.722, "lattice": [[-3.0044, 3.0044, 4.3631], [3.0044, -3.0044, 4.3631], [3.0044, 3.0044, -4.3631]], "species": ["Ba", "Ba", "Pb", "Pb", "O", "O", "O", "O", "O", "O"], "frac_coords": [[0.2500, 0.7500, 0.5000], [0.7500, 0.2500, 0.5000], [0.0000, 0.0000, 0.0000], [0.5000, 0.5000, 0.0000], [0.1986, 0.6986, 0.8971], [0.2500, 0.2500, 0.0000], [0.3014, 0.1986, 0.5000], [0.6986, 0.8014, 0.5000], [0.7500, 0.7500, 0.0000], [0.8014, 0.3014, 0.1029]]}

---

{"formula": "CuSb", "functional": "GGA-PBEsol", "state": "relaxed", "formation_energy_uncorrected_ev_per_atom": 0.205, "lattice": [[3.8914, 0.0000, 0.0000], [0.0000, 3.6832, 0.0000], [0.0000, 0.0000, 5.4062]], "species": ["Cu", "Cu", "Sb", "Sb"], "frac_coords": [[0.2500, 0.0000, 0.1373], [0.7500, 0.0000, 0.8627], [0.2500, 0.5000, 0.7395], [0.7500, 0.5000, 0.2605]]}

---

{"formula": "CaMn2Sb2", "functional": "GGA-PBEsol", "state": "relaxed", "formation_energy_uncorrected_ev_per_atom": -0.078, "lattice": [[4.1866, 0.0000, 0.0000], [-2.0933, 3.6257, 0.0000], [0.0000, 0.0000, 7.5664]], "species": ["Ca", "Mn", "Mn", "Sb", "Sb"], "frac_coords": [[0.0000, 0.0000, 0.0000], [0.3333, 0.6667, 0.6062], [0.6667, 0.3333, 0.3938], [0.3333, 0.6667, 0.2634], [0.6667, 0.3333, 0.7366]]}

---

{"formula": "Nb2MoHBr", "functional": "GGA-PBEsol", "state": "relaxed", "lattice": [[4.7250, 0.0000, 0.0000], [0.0000, 4.7250, 0.0000], [0.0000, 0.0000, 4.5196]], "species": ["Nb", "Nb", "Mo", "H", "Br"], "frac_coords": [[0.0000, 0.5000, 0.0000], [0.5000, 0.0000, 0.0000], [0.0000, 0.0000, 0.5000], [0.5000, 0.5000, 0.5000], [0.0000, 0.0000, 0.0000]]}

---

{"formula": "KGeMoRh2", "functional": "GGA-PBEsol", "state": "relaxed", "formation_enthalpy_0k_kcal_per_mol_atoms": 31.47, "lattice": [[4.5511, 0.0000, 0.0000], [0.0000, 4.5511, 0.0000], [0.0000, 0.0000, 5.1920]], "species": ["K", "Ge", "Mo", "Rh", "Rh"], "frac_coords": [[0.0000, 0.0000, 0.0000], [0.0000, 0.0000, 0.5000], [0.5000, 0.5000, 0.0000], [0.0000, 0.5000, 0.5000], [0.5000, 0.0000, 0.5000]]}

---

{"formula": "Ca3P3Rh2", "functional": "GGA-PBEsol", "state": "relaxed", "formation_enthalpy_0k_kcal_per_mol_atoms": -23.09, "lattice": [[7.6762, 0.0000, 0.0000], [0.0000, 13.6091, 0.0000], [0.0000, 0.0000, 5.7717]], "species": ["Ca", "Ca", "Ca", "Ca", "Ca", "Ca", "Ca", "Ca", "Ca", "Ca", "Ca", "Ca", "P", "P", "P", "P", "P", "P", "P", "P", "P", "P", "P", "P", "Rh", "Rh", "Rh", "Rh", "Rh", "Rh", "Rh", "Rh"], "frac_coords": [[0.0414, 0.1120, 0.1270], [0.0414, 0.3880, 0.1270], [0.1896, 0.2500, 0.6200], [0.3104, 0.7500, 0.1200], [0.4586, 0.6120, 0.6270], [0.4586, 0.8880, 0.6270], [0.5414, 0.1120, 0.3730], [0.5414, 0.3880, 0.3730], [0.6896, 0.2500, 0.8800], [0.8104, 0.7500, 0.3800], [0.9586, 0.6120, 0.8730], [0.9586, 0.8880, 0.8730], [0.1623, 0.7500, 0.5830], [0.1951, 0.0489, 0.6306], [0.1951, 0.4511, 0.6306], [0.3049, 0.5489, 0.1306], [0.3049, 0.9511, 0.1306], [0.3377, 0.2500, 0.0830], [0.6623, 0.7500, 0.9170], [0.6951, 0.0489, 0.8694], [0.6951, 0.4511, 0.8694], [0.8049, 0.5489, 0.3694], [0.8049, 0.9511, 0.3694], [0.8377, 0.2500, 0.4170], [0.0973, 0.5817, 0.4023], [0.0973, 0.9183, 0.4023], [0.4027, 0.0817, 0.9023], [0.4027, 0.4183, 0.9023], [0.5973, 0.5817, 0.0977], [0.5973, 0.9183, 0.0977], [0.9027, 0.0817, 0.5977], [0.9027, 0.4183, 0.5977]]}

---

{"formula": "BeCuOs2", "functional": "GGA-PBEsol", "state": "relaxed", "formation_enthalpy_0k_kcal_per_mol_atoms": 2.88, "lattice": [[-1.4259, 2.0364, 4.0287], [1.4259, -2.0364, 4.0287], [1.4259, 2.0364, -4.0287]], "species": ["Be", "Cu", "Os", "Os"], "frac_coords": [[0.0000, 0.0000, 0.0000], [0.2145, 0.7145, 0.5000], [0.4887, 0.4887, 0.0000], [0.7601, 0.2601, 0.5000]]}

---

{"formula": "HfBeCo2", "functional": "GGA-PBEsol", "state": "relaxed", "formation_enthalpy_0k_kcal_per_mol_atoms": 4.87, "lattice": [[-1.8513, 1.8513, 7.7080], [1.8513, -1.8513, 7.7080], [1.8513, 1.8513, -7.7080]], "species": ["Hf", "Hf", "Be", "Be", "Co", "Co", "Co", "Co"], "frac_coords": [[0.0000, 0.0000, 0.0000], [0.7500, 0.2500, 0.5000], [0.2500, 0.7500, 0.5000], [0.5000, 0.5000, 0.0000], [0.2189, 0.6250, 0.0939], [0.3750, 0.4689, 0.5939], [0.5311, 0.1250, 0.9061], [0.8750, 0.7811, 0.4061]]}

---

no.,E_tot (eV per atom)
1,-6.101
2,-4.241
3,-6.232
4,-5.653
5,-5.459
6,-6.007
7,-8.067
8,-7.283